The following is a DFT calculation (GGA-PBE) of a relaxed AcTbAu crystal.

Cell and atoms, written as POSCAR:
```
AcTbAu
1.0
0.000 3.588 3.588
3.588 0.000 3.588
3.588 3.588 0.000
Ac Tb Au
1 1 1
Direct
0.000 0.000 0.000
0.750 0.750 0.750
0.500 0.500 0.500
```

For the energy of formation, the calculation gives 2.6 kcal/mol of atoms. Its space group is F-43m, No. 216.